Record 1
{
  "formula": "LaTaInS2",
  "functional": "PBE",
  "state": "optimized geometry",
  "lattice_angstrom": [[4.975, 0.000, 0.000], [0.000, 5.934, 0.000], [0.000, 0.000, 4.975]],
  "species": ["S", "S", "La", "In", "Ta"],
  "frac_coords": [[0.000, 0.000, 0.500], [0.500, 0.000, 0.000], [0.000, 0.500, 0.000], [0.000, 0.000, 0.000], [0.500, 0.500, 0.500]],
  "raw_formation_energy_ev_per_atom": 1.095,
  "energy_ev_per_atom": -4.460,
  "vol_a3_per_atom": 29.4
}

Record 2
{
  "formula": "LaTi2InS",
  "functional": "PBE",
  "state": "optimized geometry",
  "lattice_angstrom": [[-4.032, -1.496, 1.816], [-1.523, -1.819, -4.881], [1.954, -4.136, 0.931]],
  "species": ["S", "In", "Ti", "Ti", "La"],
  "frac_coords": [[0.000, 0.000, 0.000], [0.500, 0.500, 0.500], [0.000, 0.000, 0.500], [0.500, 0.000, 0.000], [0.000, 0.500, 0.000]],
  "raw_formation_energy_ev_per_atom": -0.472,
  "energy_ev_per_atom": -5.989,
  "vol_a3_per_atom": 23.7
}

Record 3
{
  "formula": "La2Tl3InS6",
  "functional": "PBE",
  "state": "optimized geometry",
  "lattice_angstrom": [[7.194, 0.014, -0.002], [-3.583, 6.238, -0.002], [-1.206, -2.089, 7.496]],
  "species": ["La", "La", "Tl", "Tl", "Tl", "In", "S", "S", "S", "S", "S", "S"],
  "frac_coords": [[0.334, 0.666, 0.000], [0.666, 0.334, 0.000], [0.168, 0.832, 0.500], [0.832, 0.168, 0.500], [0.500, 0.500, 0.500], [0.000, 0.000, 0.000], [0.933, 0.621, 0.801], [0.753, 0.753, 0.209], [0.067, 0.379, 0.199], [0.621, 0.933, 0.801], [0.247, 0.247, 0.791], [0.379, 0.067, 0.199]],
  "raw_formation_energy_ev_per_atom": -1.151,
  "energy_ev_per_atom": -4.856,
  "vol_a3_per_atom": 28.1
}

Record 4
{
  "formula": "La2YInS",
  "functional": "PBE",
  "state": "optimized geometry",
  "lattice_angstrom": [[-5.009, -0.457, 2.234], [2.228, -2.123, 4.562], [0.456, 4.782, 2.002]],
  "species": ["Y", "S", "In", "La", "La"],
  "frac_coords": [[0.000, 0.000, 0.500], [0.000, 0.000, 0.000], [0.500, 0.500, 0.500], [0.000, 0.500, 0.000], [0.500, 0.000, 0.000]],
  "raw_formation_energy_ev_per_atom": -0.925,
  "energy_ev_per_atom": -5.562,
  "vol_a3_per_atom": 31.5
}

Record 5
{
  "formula": "LaZrInS2",
  "functional": "PBE",
  "state": "optimized geometry",
  "lattice_angstrom": [[-2.222, -1.467, 4.180], [-2.571, -4.060, -2.792], [3.790, -3.050, 0.944]],
  "species": ["S", "S", "In", "Zr", "La"],
  "frac_coords": [[0.000, 0.000, 0.500], [0.500, 0.000, 0.000], [0.000, 0.500, 0.000], [0.000, 0.000, 0.000], [0.500, 0.500, 0.500]],
  "raw_formation_energy_ev_per_atom": -0.809,
  "energy_ev_per_atom": -5.702,
  "vol_a3_per_atom": 27.3
}

Record 6
{
  "formula": "La2InSb",
  "functional": "PBE",
  "state": "optimized geometry",
  "lattice_angstrom": [[-2.379, 1.579, -5.835], [-3.024, -4.580, -3.475], [-0.142, 2.605, 5.949]],
  "species": ["In", "La", "La", "Sb"],
  "frac_coords": [[0.265, 0.765, 0.500], [0.001, 0.001, 0.000], [0.743, 0.243, 0.500], [0.491, 0.491, 0.000]],
  "raw_formation_energy_ev_per_atom": -0.714,
  "e_above_lowest_polymorph_mev_per_atom": 144,
  "energy_ev_per_atom": -4.893,
  "vol_a3_per_atom": 30.6
}

Record 7
{
  "formula": "La2InSb",
  "functional": "PBE",
  "state": "optimized geometry",
  "lattice_angstrom": [[-2.257, 2.045, 2.780], [-1.883, -3.514, 1.052], [5.060, -1.214, 5.002]],
  "species": ["Sb", "In", "La", "La"],
  "frac_coords": [[0.500, 0.500, 0.250], [0.500, 0.500, 0.750], [0.000, 0.000, 0.011], [0.000, 0.000, 0.489]],
  "raw_formation_energy_ev_per_atom": -0.793,
  "e_above_lowest_polymorph_mev_per_atom": 65,
  "energy_ev_per_atom": -4.972,
  "vol_a3_per_atom": 30.7
}

Record 8
{
  "formula": "La2In2Sb",
  "functional": "PBE",
  "state": "optimized geometry",
  "lattice_angstrom": [[8.033, 0.000, 0.000], [0.000, 8.033, 0.000], [0.000, 0.000, 4.774]],
  "species": ["Sb", "Sb", "In", "In", "In", "In", "La", "La", "La", "La"],
  "frac_coords": [[0.000, 0.000, 0.000], [0.500, 0.500, 0.000], [0.371, 0.871, 0.000], [0.871, 0.629, 0.000], [0.629, 0.129, 0.000], [0.129, 0.371, 0.000], [0.171, 0.671, 0.500], [0.671, 0.829, 0.500], [0.829, 0.329, 0.500], [0.329, 0.171, 0.500]],
  "raw_formation_energy_ev_per_atom": -0.562,
  "e_above_lowest_polymorph_mev_per_atom": 0,
  "energy_ev_per_atom": -4.453,
  "vol_a3_per_atom": 30.8
}

Record 9
{
  "formula": "La2InSb",
  "functional": "PBE",
  "state": "optimized geometry",
  "lattice_angstrom": [[-5.768, -2.610, -1.338], [-3.678, -4.786, 2.334], [-1.970, 2.898, 2.838]],
  "species": ["Sb", "La", "La", "In"],
  "frac_coords": [[0.463, 0.463, 0.625], [0.012, 0.012, 0.125], [0.740, 0.740, 0.625], [0.284, 0.284, 0.125]],
  "raw_formation_energy_ev_per_atom": -0.802,
  "e_above_lowest_polymorph_mev_per_atom": 56,
  "energy_ev_per_atom": -4.981,
  "vol_a3_per_atom": 32.3
}

Record 10
{
  "formula": "La2InSb",
  "functional": "PBE",
  "state": "optimized geometry",
  "lattice_angstrom": [[0.000, 3.956, 3.956], [3.956, 0.000, 3.956], [3.956, 3.956, 0.000]],
  "species": ["Sb", "In", "La", "La"],
  "frac_coords": [[0.500, 0.500, 0.500], [0.000, 0.000, 0.000], [0.250, 0.250, 0.250], [0.750, 0.750, 0.750]],
  "raw_formation_energy_ev_per_atom": -0.667,
  "e_above_lowest_polymorph_mev_per_atom": 191,
  "energy_ev_per_atom": -4.846,
  "vol_a3_per_atom": 31.0
}

Record 11
{
  "formula": "La2InSb",
  "functional": "PBE",
  "state": "optimized geometry",
  "lattice_angstrom": [[-1.503, -6.990, -5.051], [5.396, -4.762, 4.983], [-0.741, -6.778, 2.014]],
  "species": ["Sb", "Sb", "In", "In", "La", "La", "La", "La"],
  "frac_coords": [[0.000, 0.000, 0.000], [0.750, 0.250, 0.500], [0.500, 0.500, 0.000], [0.250, 0.750, 0.500], [0.635, 0.125, 0.250], [0.115, 0.625, 0.250], [0.375, 0.365, 0.750], [0.875, 0.885, 0.750]],
  "raw_formation_energy_ev_per_atom": -0.548,
  "e_above_lowest_polymorph_mev_per_atom": 311,
  "energy_ev_per_atom": -4.727,
  "vol_a3_per_atom": 33.5
}

Record 12
{
  "formula": "LaInSb4",
  "functional": "PBE",
  "state": "optimized geometry",
  "lattice_angstrom": [[-6.230, 0.372, 1.023], [-3.391, 4.566, -2.765], [-4.057, -1.439, -4.633]],
  "species": ["La", "In", "Sb", "Sb", "Sb", "Sb"],
  "frac_coords": [[0.000, 0.000, 0.000], [0.750, 0.750, 0.750], [0.872, 0.376, 0.376], [0.376, 0.376, 0.872], [0.376, 0.872, 0.376], [0.376, 0.376, 0.376]],
  "raw_formation_energy_ev_per_atom": -0.200,
  "energy_ev_per_atom": -4.226,
  "vol_a3_per_atom": 29.8
}

Record 13
{
  "formula": "La6InSb",
  "functional": "PBE",
  "state": "optimized geometry",
  "lattice_angstrom": [[5.038, 0.000, 0.000], [0.000, 5.038, 0.000], [0.000, 0.000, 10.049]],
  "species": ["La", "La", "La", "La", "La", "La", "In", "Sb"],
  "frac_coords": [[0.500, 0.500, 0.000], [0.500, 0.500, 0.500], [0.500, 0.000, 0.246], [0.500, 0.000, 0.754], [0.000, 0.500, 0.246], [0.000, 0.500, 0.754], [0.000, 0.000, 0.500], [0.000, 0.000, 0.000]],
  "raw_formation_energy_ev_per_atom": -0.465,
  "energy_ev_per_atom": -5.018,
  "vol_a3_per_atom": 31.9
}

Record 14
{
  "formula": "La2InSb",
  "functional": "PBE",
  "state": "optimized geometry",
  "lattice_angstrom": [[-5.924, -6.976, 0.454], [-3.622, -7.349, 4.103], [-6.926, -4.556, 3.903]],
  "species": ["In", "La", "La", "Sb"],
  "frac_coords": [[0.765, 0.765, 0.765], [0.012, 0.012, 0.012], [0.234, 0.234, 0.234], [0.489, 0.489, 0.489]],
  "raw_formation_energy_ev_per_atom": -0.232,
  "e_above_lowest_polymorph_mev_per_atom": 626,
  "energy_ev_per_atom": -4.411,
  "vol_a3_per_atom": 35.8
}

Record 15
{
  "formula": "La2InSb",
  "functional": "PBE",
  "state": "optimized geometry",
  "lattice_angstrom": [[5.974, 0.000, 0.000], [0.000, 3.393, -0.004], [0.000, 0.006, 5.974]],
  "species": ["In", "La", "La", "Sb"],
  "frac_coords": [[0.500, 0.625, 0.875], [0.000, 0.107, 0.875], [0.500, 0.143, 0.375], [0.000, 0.625, 0.375]],
  "raw_formation_energy_ev_per_atom": -0.729,
  "e_above_lowest_polymorph_mev_per_atom": 130,
  "energy_ev_per_atom": -4.908,
  "vol_a3_per_atom": 30.3
}

Record 16
{
  "formula": "LaInSb3",
  "functional": "PBE",
  "state": "optimized geometry",
  "lattice_angstrom": [[-4.051, 1.124, 4.368], [-0.654, -5.955, 0.926], [4.462, 0.148, 4.101]],
  "species": ["Sb", "Sb", "Sb", "In", "La"],
  "frac_coords": [[0.000, 0.500, 0.000], [0.000, 0.000, 0.500], [0.500, 0.000, 0.000], [0.500, 0.500, 0.500], [0.000, 0.000, 0.000]],
  "raw_formation_energy_ev_per_atom": 0.368,
  "e_above_lowest_polymorph_mev_per_atom": 226,
  "energy_ev_per_atom": -3.638,
  "vol_a3_per_atom": 44.6
}

Record 17
{
  "formula": "La10In3Sb3",
  "functional": "PBE",
  "state": "optimized geometry",
  "lattice_angstrom": [[6.766, 0.000, 0.000], [0.000, 8.294, -4.789], [0.000, 0.000, 9.577]],
  "species": ["La", "La", "La", "La", "La", "La", "La", "La", "La", "La", "In", "In", "In", "Sb", "Sb", "Sb"],
  "frac_coords": [[0.269, 0.667, 0.333], [0.269, 0.333, 0.667], [0.731, 0.333, 0.667], [0.731, 0.667, 0.333], [0.500, 0.000, 0.754], [0.500, 0.754, 0.000], [0.500, 0.246, 0.246], [0.000, 0.000, 0.250], [0.000, 0.250, 0.000], [0.000, 0.750, 0.750], [0.000, 0.000, 0.609], [0.000, 0.609, 0.000], [0.000, 0.391, 0.391], [0.500, 0.000, 0.384], [0.500, 0.384, 0.000], [0.500, 0.616, 0.616]],
  "raw_formation_energy_ev_per_atom": -0.681,
  "energy_ev_per_atom": -5.048,
  "vol_a3_per_atom": 33.6
}

Record 18
{
  "formula": "La4InSb",
  "functional": "PBE",
  "state": "optimized geometry",
  "lattice_angstrom": [[0.272, -6.459, 0.243], [-5.303, -3.508, -1.194], [-0.429, -3.463, -5.448]],
  "species": ["La", "La", "La", "La", "In", "Sb"],
  "frac_coords": [[0.876, 0.375, 0.375], [0.375, 0.375, 0.876], [0.375, 0.876, 0.375], [0.375, 0.375, 0.375], [0.000, 0.000, 0.000], [0.750, 0.750, 0.750]],
  "raw_formation_energy_ev_per_atom": -0.070,
  "energy_ev_per_atom": -4.499,
  "vol_a3_per_atom": 31.9
}

Record 19
{
  "formula": "La6In5Sb",
  "functional": "PBE",
  "state": "optimized geometry",
  "lattice_angstrom": [[-2.879, -1.673, 4.062], [-1.806, -5.912, -7.111], [8.967, -0.169, 2.890]],
  "species": ["Sb", "In", "In", "In", "In", "In", "La", "La", "La", "La", "La", "La"],
  "frac_coords": [[0.000, 0.000, 0.000], [0.500, 0.180, 0.820], [0.000, 0.335, 0.665], [0.500, 0.500, 0.500], [0.000, 0.665, 0.335], [0.500, 0.820, 0.180], [0.245, 0.082, 0.408], [0.755, 0.592, 0.918], [0.742, 0.242, 0.242], [0.258, 0.758, 0.758], [0.245, 0.408, 0.082], [0.755, 0.918, 0.592]],
  "raw_formation_energy_ev_per_atom": -0.595,
  "energy_ev_per_atom": -4.544,
  "vol_a3_per_atom": 30.6
}

Record 20
{
  "formula": "La2InSb",
  "functional": "PBE",
  "state": "optimized geometry",
  "lattice_angstrom": [[-4.301, 0.208, 1.598], [-1.610, -1.629, -4.120], [1.834, -11.152, 6.389]],
  "species": ["La", "La", "La", "La", "In", "In", "Sb", "Sb"],
  "frac_coords": [[0.750, 0.685, 0.370], [0.250, 0.315, 0.630], [0.750, 0.936, 0.871], [0.250, 0.064, 0.129], [0.250, 0.461, 0.923], [0.750, 0.539, 0.077], [0.250, 0.189, 0.377], [0.750, 0.811, 0.623]],
  "raw_formation_energy_ev_per_atom": -0.858,
  "e_above_lowest_polymorph_mev_per_atom": 0,
  "energy_ev_per_atom": -5.037,
  "vol_a3_per_atom": 34.6
}

Record 21
{
  "formula": "La2InSb",
  "functional": "PBE",
  "state": "optimized geometry",
  "lattice_angstrom": [[5.832, 0.009, 0.005], [1.286, 5.688, -0.005], [-3.559, -2.848, 3.637]],
  "species": ["In", "La", "La", "Sb"],
  "frac_coords": [[0.250, 0.750, 0.500], [0.000, 0.000, 0.000], [0.500, 0.500, 0.000], [0.750, 0.250, 0.500]],
  "raw_formation_energy_ev_per_atom": -0.738,
  "e_above_lowest_polymorph_mev_per_atom": 120,
  "energy_ev_per_atom": -4.917,
  "vol_a3_per_atom": 30.2
}

Record 22
{
  "formula": "La2InSb4",
  "functional": "PBE",
  "state": "optimized geometry",
  "lattice_angstrom": [[-3.571, -0.973, -2.453], [1.946, -3.758, -1.343], [-4.453, -5.386, 8.617]],
  "species": ["La", "La", "In", "Sb", "Sb", "Sb", "Sb"],
  "frac_coords": [[0.500, 0.000, 0.727], [0.000, 0.500, 0.273], [0.500, 0.500, 0.000], [0.500, 0.000, 0.173], [0.000, 0.500, 0.827], [0.500, 0.500, 0.500], [0.000, 0.000, 0.500]],
  "raw_formation_energy_ev_per_atom": -0.763,
  "energy_ev_per_atom": -4.918,
  "vol_a3_per_atom": 31.2
}

Record 23
{
  "formula": "LaInSb3",
  "functional": "PBE",
  "state": "optimized geometry",
  "lattice_angstrom": [[5.561, 0.000, 0.000], [0.000, 5.561, 0.000], [0.000, 0.000, 5.561]],
  "species": ["Sb", "Sb", "Sb", "In", "La"],
  "frac_coords": [[0.000, 0.500, 0.000], [0.000, 0.000, 0.500], [0.500, 0.000, 0.000], [0.000, 0.000, 0.000], [0.500, 0.500, 0.500]],
  "raw_formation_energy_ev_per_atom": 0.142,
  "e_above_lowest_polymorph_mev_per_atom": 0,
  "energy_ev_per_atom": -3.865,
  "vol_a3_per_atom": 34.4
}

Record 24
{
  "formula": "La2In2Sb",
  "functional": "PBE",
  "state": "optimized geometry",
  "lattice_angstrom": [[-7.837, 0.668, -2.668], [0.796, -7.162, -4.130], [-1.554, -2.451, 3.951]],
  "species": ["Sb", "Sb", "In", "In", "In", "In", "La", "La", "La", "La"],
  "frac_coords": [[0.000, 0.000, 0.000], [0.500, 0.500, 0.000], [0.141, 0.641, 0.500], [0.641, 0.859, 0.500], [0.859, 0.359, 0.500], [0.359, 0.141, 0.500], [0.342, 0.842, 0.000], [0.842, 0.658, 0.000], [0.658, 0.158, 0.000], [0.158, 0.342, 0.000]],
  "raw_formation_energy_ev_per_atom": -0.446,
  "e_above_lowest_polymorph_mev_per_atom": 116,
  "energy_ev_per_atom": -4.337,
  "vol_a3_per_atom": 33.8
}

Record 25
{
  "formula": "La2InSb",
  "functional": "PBE",
  "state": "optimized geometry",
  "lattice_angstrom": [[5.550, -0.004, 0.000], [-1.191, 5.421, 0.000], [0.000, 0.000, 4.054]],
  "species": ["In", "La", "La", "Sb"],
  "frac_coords": [[0.000, 0.500, 0.500], [0.000, 0.000, 0.000], [0.500, 0.500, 0.000], [0.500, 0.000, 0.500]],
  "raw_formation_energy_ev_per_atom": -0.762,
  "e_above_lowest_polymorph_mev_per_atom": 96,
  "energy_ev_per_atom": -4.941,
  "vol_a3_per_atom": 30.5
}

Record 26
{
  "formula": "La2InSb",
  "functional": "PBE",
  "state": "optimized geometry",
  "lattice_angstrom": [[-5.274, -0.957, -1.384], [-3.630, -1.591, 3.865], [-3.973, 3.477, 1.664]],
  "species": ["In", "La", "La", "Sb"],
  "frac_coords": [[0.500, 0.500, 0.500], [0.000, 0.000, 0.000], [0.250, 0.250, 0.250], [0.750, 0.750, 0.750]],
  "raw_formation_energy_ev_per_atom": -0.271,
  "e_above_lowest_polymorph_mev_per_atom": 587,
  "energy_ev_per_atom": -4.450,
  "vol_a3_per_atom": 30.0
}

Record 27
{
  "formula": "La2InSb",
  "functional": "PBE",
  "state": "optimized geometry",
  "lattice_angstrom": [[4.429, -0.009, 0.008], [2.229, 3.827, 0.008], [2.189, 1.255, 8.346]],
  "species": ["In", "La", "La", "Sb"],
  "frac_coords": [[0.250, 0.250, 0.250], [0.007, 0.007, 0.981], [0.493, 0.493, 0.519], [0.750, 0.750, 0.750]],
  "raw_formation_energy_ev_per_atom": -0.747,
  "e_above_lowest_polymorph_mev_per_atom": 111,
  "energy_ev_per_atom": -4.926,
  "vol_a3_per_atom": 35.4
}